Compound: CrMoIrO6
Source: Alexandria
Functional: PBE with a Hubbard U
Structure: optimized geometry

Calculated values
Raw total energy   -132.04 eV per cell
DOS at the Fermi energy   2.0 states/eV/f.u.

Lattice parameters (Å, degrees): 4.614 4.614 9.415 90.00 90.00 90.00
Space group P4_2nm (No. 102)
Inequivalent atoms, fractional coordinates:
1 Cr 0.000 0.000 0.000 (multiplicity 2)
2 Mo 0.000 0.000 0.332 (multiplicity 2)
3 Ir 0.000 0.000 0.666 (multiplicity 2)
4 O 0.193 0.193 0.499 (multiplicity 4)
5 O 0.196 0.196 0.166 (multiplicity 4)
6 O 0.196 0.196 0.832 (multiplicity 4)